[1]
! K2SrCu PBE relaxed; values from VASP
! Space-group type ... F-43m, No. 216
! Energy above the lowest structure with this stoichiometry ... 230.3 meV/atom
! Density of states at the Fermi level ... 2.8 states/eV/cell
! Formation energy from the elements ... 0.37 eV/atom
&SYSTEM
  ibrav = 0, nat = 4, ntyp = 3
/
ATOMIC_SPECIES
K 39.10 K.upf
Sr 87.62 Sr.upf
Cu 63.55 Cu.upf
CELL_PARAMETERS angstrom
0.000 4.359 4.359
4.359 0.000 4.359
4.359 4.359 0.000
ATOMIC_POSITIONS crystal
K 0.000 0.000 0.000
K 0.250 0.250 0.250
Sr 0.750 0.750 0.750
Cu 0.500 0.500 0.500

[2]
! K2SrCu PBE relaxed; values from VASP
! Space-group type ... Cmmm, No. 65
! Energy above the lowest structure with this stoichiometry ... 188.9 meV/atom
! Density of states at the Fermi level ... 2.3 states/eV/cell
! Formation energy from the elements ... 0.32 eV/atom
&SYSTEM
  ibrav = 0, nat = 4, ntyp = 3
/
ATOMIC_SPECIES
K 39.10 K.upf
Sr 87.62 Sr.upf
Cu 63.55 Cu.upf
CELL_PARAMETERS angstrom
3.603 -3.608 0.000
3.603 3.608 0.000
0.000 0.000 6.433
ATOMIC_POSITIONS crystal
K 0.000 0.500 0.000
K 0.500 0.000 0.000
Sr 0.000 0.000 0.500
Cu 0.500 0.500 0.500

[3]
! KSrCu2 PBE relaxed; values from VASP
! Space-group type ... Amm2, No. 38
! Energy above the lowest structure with this stoichiometry ... 0.0 meV/atom
! Density of states at the Fermi level ... 2.1 states/eV/cell
! Formation energy from the elements ... 0.14 eV/atom
&SYSTEM
  ibrav = 0, nat = 4, ntyp = 3
/
ATOMIC_SPECIES
K 39.10 K.upf
Sr 87.62 Sr.upf
Cu 63.55 Cu.upf
CELL_PARAMETERS angstrom
4.419 0.000 0.000
0.000 2.270 6.027
0.000 -2.270 6.027
ATOMIC_POSITIONS crystal
K 0.000 0.000 0.000
Sr 0.500 0.281 0.281
Cu 0.000 0.701 0.701
Cu 0.500 0.608 0.608

[4]
! K2Sr2Cu PBE relaxed; values from VASP
! Space-group type ... P4/mbm, No. 127
! Density of states at the Fermi level ... 13.4 states/eV/cell
! Formation energy from the elements ... 0.21 eV/atom
&SYSTEM
  ibrav = 0, nat = 10, ntyp = 3
/
ATOMIC_SPECIES
K 39.10 K.upf
Sr 87.62 Sr.upf
Cu 63.55 Cu.upf
CELL_PARAMETERS angstrom
8.350 0.000 0.000
0.000 8.350 0.000
0.000 0.000 7.521
ATOMIC_POSITIONS crystal
K 0.175 0.325 0.000
K 0.325 0.825 0.000
K 0.675 0.175 0.000
K 0.825 0.675 0.000
Sr 0.178 0.678 0.500
Sr 0.322 0.178 0.500
Sr 0.678 0.822 0.500
Sr 0.822 0.322 0.500
Cu 0.000 0.000 0.500
Cu 0.500 0.500 0.500

[5]
! KSr2Cu2 PBE relaxed; values from VASP
! Space-group type ... P4/mbm, No. 127
! Energy above the lowest structure with this stoichiometry ... 0.0 meV/atom
! Density of states at the Fermi level ... 6.6 states/eV/cell
! Formation energy from the elements ... 0.08 eV/atom
&SYSTEM
  ibrav = 0, nat = 10, ntyp = 3
/
ATOMIC_SPECIES
K 39.10 K.upf
Sr 87.62 Sr.upf
Cu 63.55 Cu.upf
CELL_PARAMETERS angstrom
8.617 0.000 0.000
0.000 8.617 0.000
0.000 0.000 4.443
ATOMIC_POSITIONS crystal
K 0.000 0.000 0.000
K 0.500 0.500 0.000
Sr 0.164 0.336 0.500
Sr 0.336 0.836 0.500
Sr 0.664 0.164 0.500
Sr 0.836 0.664 0.500
Cu 0.103 0.603 0.000
Cu 0.397 0.103 0.000
Cu 0.603 0.897 0.000
Cu 0.897 0.397 0.000

[6]
! KSrCu2 PBE relaxed; values from VASP
! Space-group type ... I-42d, No. 122
! Energy above the lowest structure with this stoichiometry ... 323.6 meV/atom
! Density of states at the Fermi level ... 4.2 states/eV/cell
! Formation energy from the elements ... 0.46 eV/atom
&SYSTEM
  ibrav = 0, nat = 8, ntyp = 3
/
ATOMIC_SPECIES
K 39.10 K.upf
Sr 87.62 Sr.upf
Cu 63.55 Cu.upf
CELL_PARAMETERS angstrom
-4.210 4.210 3.629
4.210 -4.210 3.629
4.210 4.210 -3.629
ATOMIC_POSITIONS crystal
K 0.000 0.000 0.000
K 0.750 0.250 0.500
Sr 0.250 0.750 0.500
Sr 0.500 0.500 0.000
Cu 0.135 0.625 0.010
Cu 0.375 0.385 0.510
Cu 0.615 0.125 0.990
Cu 0.875 0.865 0.490

Question: Which of these has the lowest formation energy from the elements?
Answer: KSr2Cu2

Question: The lowest formation energy from the elements belongs to which entry?
Answer: KSr2Cu2

Question: Among the records above, which one has the highest formation energy from the elements?
Answer: number 6

Question: What is the formula in the second record?
Answer: K2SrCu